(1)
Density functional theory data (GGA-PBE) for crystalline TlHg2Pb at its relaxed geometry.

Cell lengths 3.5114, 3.5114, 9.2181 Å; angles 90.00, 90.00, 90.00 degrees
Space group P4/mmm (No. 123)
Asymmetric unit:
1 Tl 0.0000 0.0000 0.0000 x1
2 Hg 0.5000 0.5000 0.2519 x2
3 Pb 0.0000 0.0000 0.5000 x1

Energy of formation (eV per atom): 0.024
Energy (eV/atom): -1.645
Total magnetization (μB/atom): 0.000

(2)
Density functional theory data (GGA-PBE) for crystalline TlHg6Pb6 at its relaxed geometry.

Cell lengths 6.2526, 10.8916, 11.1744 Å; angles 90.00, 90.00, 90.00 degrees
Space group Cmmm (No. 65)
Asymmetric unit:
1 Tl 0.0000 0.0000 0.0000 x2
2 Hg 0.0000 0.5000 0.2432 x4
3 Hg 0.2500 0.2500 0.2444 x8
4 Pb 0.0000 0.0000 0.3567 x4
5 Pb 0.0000 0.3332 0.0000 x4
6 Pb 0.0000 0.3340 0.5000 x4

Energy of formation (eV per atom): 0.048
Energy (eV/atom): -1.984
Total magnetization (μB/atom): 0.000

(3)
Density functional theory data (GGA-PBE) for crystalline Tl6HgPb5 at its relaxed geometry.

Cell lengths 4.7209, 15.1027, 10.3113 Å; angles 90.00, 90.00, 90.00 degrees
Space group Cmmm (No. 65)
Asymmetric unit:
1 Tl 0.0000 0.0000 0.2407 x4
2 Tl 0.0000 0.3336 0.2500 x8
3 Hg 0.0000 0.5000 0.0000 x2
4 Pb 0.0000 0.1660 0.5000 x4
5 Pb 0.0000 0.1694 0.0000 x4
6 Pb 0.0000 0.5000 0.5000 x2

Energy of formation (eV per atom): 0.001
Energy (eV/atom): -2.753
Total magnetization (μB/atom): 0.000

(4)
Density functional theory data (GGA-PBE) for crystalline TlHg2Pb4 at its relaxed geometry.

Cell lengths 5.7036, 21.6226, 3.4367 Å; angles 90.00, 90.00, 90.00 degrees
Space group Cmmm (No. 65)
Asymmetric unit:
1 Tl 0.0000 0.0000 0.0000 x2
2 Hg 0.0000 0.4311 0.5000 x4
3 Pb 0.0000 0.1507 0.5000 x4
4 Pb 0.0000 0.2940 0.0000 x4

E above lowest polymorph (meV/atom): 0
Energy of formation (eV per atom): 0.015
Energy (eV/atom): -2.529
Total magnetization (μB/atom): 0.000

(5)
Density functional theory data (GGA-PBE) for crystalline Tl4Hg2Pb3 at its relaxed geometry.

Cell lengths 3.5586, 3.5586, 24.9862 Å; angles 90.00, 90.00, 120.00 degrees
Space group P3m1 (No. 156)
Asymmetric unit:
1 Tl 0.0000 0.0000 0.0000 x1
2 Tl 0.0000 0.0000 0.2237 x1
3 Tl 0.3333 0.6667 0.3377 x1
4 Tl 0.3333 0.6667 0.5626 x1
5 Hg 0.0000 0.0000 0.6660 x1
6 Hg 0.0000 0.0000 0.8807 x1
7 Pb 0.0000 0.0000 0.4496 x1
8 Pb 0.3333 0.6667 0.1104 x1
9 Pb 0.3333 0.6667 0.7736 x1

Energy of formation (eV per atom): 0.008
Energy (eV/atom): -2.347
Total magnetization (μB/atom): 0.000

(6)
Density functional theory data (GGA-PBE) for crystalline Tl8HgPb2 at its relaxed geometry.

Cell lengths 16.2551, 6.6153, 6.6943 Å; angles 90.00, 104.77, 90.00 degrees
Space group C2/m (No. 12)
Asymmetric unit:
1 Tl 0.0753 0.2418 0.3903 x8
2 Tl 0.1104 0.0000 0.9548 x4
3 Tl 0.2476 0.5000 0.3461 x4
4 Hg 0.0000 0.5000 0.0000 x2
5 Pb 0.1637 0.5000 0.8326 x4

E above lowest polymorph (meV/atom): 61
Energy of formation (eV per atom): 0.065
Energy (eV/atom): -2.358
Total magnetization (μB/atom): 0.000

(7)
Density functional theory data (GGA-PBE) for crystalline TlHgPb at its relaxed geometry.

Cell lengths 3.5017, 3.5017, 14.2818 Å; angles 90.00, 90.00, 90.00 degrees
Space group I4mm (No. 107)
Asymmetric unit:
1 Tl 0.0000 0.0000 0.0000 x2
2 Hg 0.0000 0.0000 0.3378 x2
3 Pb 0.0000 0.0000 0.6795 x2

E above lowest polymorph (meV/atom): 38
Energy of formation (eV per atom): 0.027
Energy (eV/atom): -2.098
Total magnetization (μB/atom): 0.000

(8)
Density functional theory data (GGA-PBE) for crystalline Tl15HgPb4 at its relaxed geometry.

Cell lengths 5.5246, 5.5246, 20.0932 Å; angles 90.00, 90.00, 90.00 degrees
Space group P4/mmm (No. 123)
Asymmetric unit:
1 Tl 0.0000 0.0000 0.0000 x1
2 Tl 0.0000 0.0000 0.1954 x2
3 Tl 0.0000 0.0000 0.3986 x2
4 Tl 0.0000 0.5000 0.0955 x4
5 Tl 0.0000 0.5000 0.2986 x4
6 Tl 0.0000 0.5000 0.5000 x2
7 Hg 0.5000 0.5000 0.0000 x1
8 Pb 0.5000 0.5000 0.1998 x2
9 Pb 0.5000 0.5000 0.3981 x2

Energy of formation (eV per atom): 0.014
Energy (eV/atom): -2.518
Total magnetization (μB/atom): 0.000

(9)
Density functional theory data (GGA-PBE) for crystalline Tl2HgPb6 at its relaxed geometry.

Cell lengths 12.9307, 11.7749, 9.1073 Å; angles 90.00, 126.41, 90.00 degrees
Space group C2/c (No. 15)
Asymmetric unit:
1 Tl 0.1673 0.1278 0.4180 x8
2 Hg 0.0000 0.3753 0.2500 x4
3 Pb 0.0588 0.1247 0.9731 x8
4 Pb 0.1039 0.3820 0.6827 x8
5 Pb 0.2274 0.3694 0.1376 x8

Energy of formation (eV per atom): 0.020
Energy (eV/atom): -3.012
Total magnetization (μB/atom): 0.000

(10)
Density functional theory data (GGA-PBE) for crystalline Tl5Hg5Pb2 at its relaxed geometry.

Cell lengths 15.3068, 5.7729, 10.8519 Å; angles 90.00, 130.23, 90.00 degrees
Space group C2/m (No. 12)
Asymmetric unit:
1 Tl 0.0000 0.0000 0.0000 x2
2 Tl 0.1511 0.0000 0.3806 x4
3 Tl 0.2428 0.0000 0.0686 x4
4 Hg 0.0000 0.0000 0.5000 x2
5 Hg 0.0046 0.5000 0.8236 x4
6 Hg 0.1161 0.5000 0.5427 x4
7 Pb 0.2237 0.5000 0.2198 x4

Energy of formation (eV per atom): 0.034
Energy (eV/atom): -1.696
Total magnetization (μB/atom): 0.000

(11)
Density functional theory data (GGA-PBE) for crystalline Tl2Hg2Pb at its relaxed geometry.

Cell lengths 8.6013, 8.6013, 4.0251 Å; angles 90.00, 90.00, 90.00 degrees
Space group P4/mbm (No. 127)
Asymmetric unit:
1 Tl 0.1633 0.3367 0.0000 x4
2 Hg 0.1367 0.6367 0.5000 x4
3 Pb 0.0000 0.0000 0.5000 x2

E above lowest polymorph (meV/atom): 11
Energy of formation (eV per atom): 0.024
Energy (eV/atom): -1.785
Total magnetization (μB/atom): 0.000

(12)
Density functional theory data (GGA-PBE) for crystalline Tl7Hg2Pb2 at its relaxed geometry.

Cell lengths 5.2415, 15.7774, 8.2960 Å; angles 90.00, 90.00, 90.00 degrees
Space group Imm2 (No. 44)
Asymmetric unit:
1 Tl 0.0000 0.0000 0.0000 x2
2 Tl 0.0000 0.1521 0.6935 x4
3 Tl 0.0000 0.3445 0.9130 x4
4 Tl 0.0000 0.3462 0.4700 x4
5 Hg 0.0000 0.1934 0.1931 x4
6 Pb 0.0000 0.0000 0.4018 x2
7 Pb 0.0000 0.5000 0.1858 x2

E above lowest polymorph (meV/atom): 0
Energy of formation (eV per atom): 0.027
Energy (eV/atom): -2.208
Total magnetization (μB/atom): 0.000